Record 1
DFT (PBE) results for an optimized crystal structure of NbAgP2S.

Output
Magnetization = 1.4 μB/f.u.
Density of states at the Fermi level = 5.36 states/eV per cell
Crystal system = tetragonal
ΔE to the lowest computed polymorph = 876 meV per atom
Energy relative to the elements, uncorrected = 1.197 eV per atom

CIF file:
```
data_NbAgP2S
_cell_length_a 4.680
_cell_length_b 4.680
_cell_length_c 4.766
_cell_angle_alpha 90.00
_cell_angle_beta 90.00
_cell_angle_gamma 90.00
_symmetry_space_group_name_H-M 'P 1'
_symmetry_Int_Tables_number 1
loop_
_symmetry_equiv_pos_as_xyz
'x,y,z'
loop_
_atom_site_label
_atom_site_type_symbol
_atom_site_fract_x
_atom_site_fract_y
_atom_site_fract_z
Nb1 Nb 0.500 0.500 0.500
Ag1 Ag 0.000 0.000 0.000
P1 P 0.500 0.000 0.000
P2 P 0.000 0.500 0.000
S1 S 0.000 0.000 0.500
```

Record 2
DFT (PBE) results for an optimized crystal structure of TbCeDy5Ho2.

Output
Magnetization = 0.6 μB/f.u.
Calculated formation energy = 0.17 eV/atom
Density of states at the Fermi level = 30.89 states/eV per cell
Crystal system = orthorhombic

CIF file:
```
data_TbCeDy5Ho2
_cell_length_a 5.679
_cell_length_b 11.092
_cell_length_c 9.530
_cell_angle_alpha 90.00
_cell_angle_beta 90.00
_cell_angle_gamma 104.83
_symmetry_space_group_name_H-M 'P 1'
_symmetry_Int_Tables_number 1
loop_
_symmetry_equiv_pos_as_xyz
'x,y,z'
loop_
_atom_site_label
_atom_site_type_symbol
_atom_site_fract_x
_atom_site_fract_y
_atom_site_fract_z
Dy1 Dy 0.013 0.027 0.012
Dy2 Dy 0.694 0.388 0.213
Dy3 Dy 0.267 0.534 0.332
Dy4 Dy 0.733 0.466 0.832
Dy5 Dy 0.606 0.212 0.543
Dy6 Dy 0.306 0.612 0.713
Dy7 Dy 0.529 0.058 0.247
Dy8 Dy 0.987 0.973 0.512
Dy9 Dy 0.394 0.788 0.043
Dy10 Dy 0.471 0.942 0.747
Tb1 Tb 0.597 0.194 0.926
Tb2 Tb 0.403 0.806 0.426
Ho1 Ho 0.134 0.267 0.707
Ho2 Ho 0.866 0.733 0.207
Ho3 Ho 0.114 0.227 0.322
Ho4 Ho 0.886 0.773 0.822
Ce1 Ce 0.809 0.617 0.521
Ce2 Ce 0.191 0.383 0.021
```

Record 3
DFT (PBE) results for an optimized crystal structure of SrCdGa2Co.

Output
Magnetization = 0.1 μB/f.u.
Calculated formation energy = -0.26 eV/atom
Density of states at the Fermi level = 3.97 states/eV per cell
Crystal system = tetragonal

CIF file:
```
data_SrCdGa2Co
_cell_length_a 4.655
_cell_length_b 4.655
_cell_length_c 5.041
_cell_angle_alpha 90.00
_cell_angle_beta 90.00
_cell_angle_gamma 90.00
_symmetry_space_group_name_H-M 'P 1'
_symmetry_Int_Tables_number 1
loop_
_symmetry_equiv_pos_as_xyz
'x,y,z'
loop_
_atom_site_label
_atom_site_type_symbol
_atom_site_fract_x
_atom_site_fract_y
_atom_site_fract_z
Co1 Co 0.000 0.000 0.000
Ga1 Ga 0.500 0.000 0.000
Ga2 Ga 0.000 0.500 0.000
Sr1 Sr 0.500 0.500 0.500
Cd1 Cd 0.000 0.000 0.500
```

Record 4
DFT (PBE) results for an optimized crystal structure of YScMo4.

Output
Magnetization = 0.0 μB/f.u.
Calculated formation energy = 0.04 eV/atom
Density of states at the Fermi level = 6.39 states/eV per cell
Crystal system = cubic

CIF file:
```
data_YScMo4
_cell_length_a 5.451
_cell_length_b 5.451
_cell_length_c 5.451
_cell_angle_alpha 60.00
_cell_angle_beta 60.00
_cell_angle_gamma 60.00
_symmetry_space_group_name_H-M 'P 1'
_symmetry_Int_Tables_number 1
loop_
_symmetry_equiv_pos_as_xyz
'x,y,z'
loop_
_atom_site_label
_atom_site_type_symbol
_atom_site_fract_x
_atom_site_fract_y
_atom_site_fract_z
Mo1 Mo 0.625 0.125 0.625
Mo2 Mo 0.125 0.625 0.625
Mo3 Mo 0.625 0.625 0.625
Mo4 Mo 0.625 0.625 0.125
Y1 Y 0.000 0.000 0.000
Sc1 Sc 0.250 0.250 0.250
```

Record 5
DFT (PBE) results for an optimized crystal structure of Tc2AgHg.

Output
Magnetization = 0.0 μB/f.u.
Calculated formation energy = 0.57 eV/atom
Density of states at the Fermi level = 3.23 states/eV per cell
Crystal system = orthorhombic

CIF file:
```
data_Tc2AgHg
_cell_length_a 5.416
_cell_length_b 5.416
_cell_length_c 5.416
_cell_angle_alpha 146.09
_cell_angle_beta 127.30
_cell_angle_gamma 64.16
_symmetry_space_group_name_H-M 'P 1'
_symmetry_Int_Tables_number 1
loop_
_symmetry_equiv_pos_as_xyz
'x,y,z'
loop_
_atom_site_label
_atom_site_type_symbol
_atom_site_fract_x
_atom_site_fract_y
_atom_site_fract_z
Ag1 Ag 0.508 0.508 0.000
Tc1 Tc 0.973 0.973 0.000
Tc2 Tc 0.777 0.277 0.500
Hg1 Hg 0.242 0.742 0.500
```

Record 6
DFT (PBE) results for an optimized crystal structure of Sr2Ag2Au.

Output
Magnetization = 0.0 μB/f.u.
Calculated formation energy = -0.36 eV/atom
Density of states at the Fermi level = 1.48 states/eV per cell
Crystal system = tetragonal
ΔE to the lowest computed polymorph = 95 meV per atom

CIF file:
```
data_Sr2Ag2Au
_cell_length_a 3.942
_cell_length_b 3.942
_cell_length_c 9.495
_cell_angle_alpha 78.02
_cell_angle_beta 78.02
_cell_angle_gamma 90.00
_symmetry_space_group_name_H-M 'P 1'
_symmetry_Int_Tables_number 1
loop_
_symmetry_equiv_pos_as_xyz
'x,y,z'
loop_
_atom_site_label
_atom_site_type_symbol
_atom_site_fract_x
_atom_site_fract_y
_atom_site_fract_z
Sr1 Sr 0.399 0.399 0.203
Sr2 Sr 0.601 0.601 0.797
Ag1 Ag 0.750 0.250 0.500
Ag2 Ag 0.250 0.750 0.500
Au1 Au 0.000 0.000 0.000
```

Record 7
DFT (PBE) results for an optimized crystal structure of CsScCuSe3.

Output
Magnetization = 0.0 μB/f.u.
Density of states at the Fermi level = 6.21 states/eV per cell
Crystal system = monoclinic
Energy relative to the elements, uncorrected = -1.125 eV per atom

CIF file:
```
data_CsScCuSe3
_cell_length_a 3.926
_cell_length_b 9.612
_cell_length_c 10.149
_cell_angle_alpha 116.66
_cell_angle_beta 90.00
_cell_angle_gamma 90.00
_symmetry_space_group_name_H-M 'P 1'
_symmetry_Int_Tables_number 1
loop_
_symmetry_equiv_pos_as_xyz
'x,y,z'
loop_
_atom_site_label
_atom_site_type_symbol
_atom_site_fract_x
_atom_site_fract_y
_atom_site_fract_z
Cu1 Cu 0.250 0.082 0.601
Cu2 Cu 0.750 0.918 0.399
Sc1 Sc 0.750 0.326 0.859
Sc2 Sc 0.250 0.674 0.141
Se1 Se 0.250 0.798 0.450
Se2 Se 0.750 0.202 0.550
Se3 Se 0.250 0.518 0.845
Se4 Se 0.250 0.130 0.857
Se5 Se 0.750 0.482 0.155
Se6 Se 0.750 0.870 0.143
Cs1 Cs 0.750 0.776 0.752
Cs2 Cs 0.250 0.224 0.248
```

Record 8
DFT (PBE) results for an optimized crystal structure of CrRhW2.

Output
Magnetization = 0.8 μB/f.u.
Calculated formation energy = 0.16 eV/atom
Density of states at the Fermi level = 4.24 states/eV per cell
Crystal system = orthorhombic
ΔE to the lowest computed polymorph = 62 meV per atom

CIF file:
```
data_CrRhW2
_cell_length_a 2.727
_cell_length_b 3.884
_cell_length_c 5.555
_cell_angle_alpha 90.00
_cell_angle_beta 90.00
_cell_angle_gamma 90.00
_symmetry_space_group_name_H-M 'P 1'
_symmetry_Int_Tables_number 1
loop_
_symmetry_equiv_pos_as_xyz
'x,y,z'
loop_
_atom_site_label
_atom_site_type_symbol
_atom_site_fract_x
_atom_site_fract_y
_atom_site_fract_z
Rh1 Rh 0.500 0.500 0.750
Cr1 Cr 0.500 0.500 0.250
W1 W 0.000 0.000 0.006
W2 W 0.000 0.000 0.494
```

Record 9
DFT (PBE) results for an optimized crystal structure of Fe2CuNi9.

Output
Magnetization = 11.5 μB/f.u.
Calculated formation energy = -0.05 eV/atom
Density of states at the Fermi level = 10.27 states/eV per cell
Crystal system = tetragonal

CIF file:
```
data_Fe2CuNi9
_cell_length_a 3.544
_cell_length_b 3.544
_cell_length_c 10.616
_cell_angle_alpha 90.00
_cell_angle_beta 90.00
_cell_angle_gamma 90.00
_symmetry_space_group_name_H-M 'P 1'
_symmetry_Int_Tables_number 1
loop_
_symmetry_equiv_pos_as_xyz
'x,y,z'
loop_
_atom_site_label
_atom_site_type_symbol
_atom_site_fract_x
_atom_site_fract_y
_atom_site_fract_z
Ni1 Ni 0.500 0.000 0.500
Ni2 Ni 0.000 0.500 0.831
Ni3 Ni 0.500 0.500 0.000
Ni4 Ni 0.500 0.500 0.666
Ni5 Ni 0.500 0.500 0.334
Ni6 Ni 0.000 0.500 0.500
Ni7 Ni 0.500 0.000 0.169
Ni8 Ni 0.000 0.500 0.169
Ni9 Ni 0.500 0.000 0.831
Fe1 Fe 0.000 0.000 0.669
Fe2 Fe 0.000 0.000 0.331
Cu1 Cu 0.000 0.000 0.000
```

Record 10
DFT (PBE) results for an optimized crystal structure of Zr3InFe.

Output
Magnetization = 0.0 μB/f.u.
Calculated formation energy = 0.06 eV/atom
Density of states at the Fermi level = 7.56 states/eV per cell
Crystal system = cubic
ΔE to the lowest computed polymorph = 0 meV per atom

CIF file:
```
data_Zr3InFe
_cell_length_a 4.836
_cell_length_b 4.836
_cell_length_c 4.836
_cell_angle_alpha 90.00
_cell_angle_beta 90.00
_cell_angle_gamma 90.00
_symmetry_space_group_name_H-M 'P 1'
_symmetry_Int_Tables_number 1
loop_
_symmetry_equiv_pos_as_xyz
'x,y,z'
loop_
_atom_site_label
_atom_site_type_symbol
_atom_site_fract_x
_atom_site_fract_y
_atom_site_fract_z
Fe1 Fe 0.000 0.000 0.000
Zr1 Zr 0.500 0.000 0.000
Zr2 Zr 0.000 0.000 0.500
Zr3 Zr 0.000 0.500 0.000
In1 In 0.500 0.500 0.500
```

Record 11
DFT (PBE) results for an optimized crystal structure of NaMgRu2O8.

Output
Magnetization = 3.0 μB/f.u.
Density of states at the Fermi level = 8.18 states/eV per cell
Crystal system = monoclinic
Energy relative to the elements, uncorrected = -1.197 eV per atom

CIF file:
```
data_NaMgRu2O8
_cell_length_a 5.342
_cell_length_b 5.342
_cell_length_c 7.131
_cell_angle_alpha 90.06
_cell_angle_beta 90.06
_cell_angle_gamma 65.91
_symmetry_space_group_name_H-M 'P 1'
_symmetry_Int_Tables_number 1
loop_
_symmetry_equiv_pos_as_xyz
'x,y,z'
loop_
_atom_site_label
_atom_site_type_symbol
_atom_site_fract_x
_atom_site_fract_y
_atom_site_fract_z
Na1 Na 0.000 0.000 0.500
O1 O 0.276 0.785 0.215
O2 O 0.785 0.276 0.215
O3 O 0.731 0.731 0.453
O4 O 0.228 0.228 0.950
O5 O 0.772 0.772 0.050
O6 O 0.269 0.269 0.547
O7 O 0.724 0.215 0.785
O8 O 0.215 0.724 0.785
Ru1 Ru 0.642 0.642 0.236
Ru2 Ru 0.358 0.358 0.764
Mg1 Mg 0.000 0.000 0.000
```

Record 12
DFT (PBE) results for an optimized crystal structure of K2LaSb.

Output
Magnetization = 0.1 μB/f.u.
Density of states at the Fermi level = 6.58 states/eV per cell
Crystal system = trigonal
Energy relative to the elements, uncorrected = 0.146 eV per atom

CIF file:
```
data_K2LaSb
_cell_length_a 13.516
_cell_length_b 13.516
_cell_length_c 13.516
_cell_angle_alpha 15.90
_cell_angle_beta 15.90
_cell_angle_gamma 15.90
_symmetry_space_group_name_H-M 'P 1'
_symmetry_Int_Tables_number 1
loop_
_symmetry_equiv_pos_as_xyz
'x,y,z'
loop_
_atom_site_label
_atom_site_type_symbol
_atom_site_fract_x
_atom_site_fract_y
_atom_site_fract_z
K1 K 0.487 0.487 0.487
K2 K 0.013 0.013 0.013
Sb1 Sb 0.750 0.750 0.750
La1 La 0.250 0.250 0.250
```